Record 1
Compound: CePrCrN3
Source: Alexandria
Functional: GGA-PBE
Structure: optimized geometry

Properties
As for the total energy: -8.611 eV per atom. As for the mass density: 6.450 g/cm³.

a b c (Å): 3.490 7.448 7.481
angles (deg): 96.84 90.00 90.00
Sites, in units of the cell vectors:
N: 0.250 0.121 0.842
Ce: 0.750 0.366 0.823
Cr: 0.250 0.083 0.592
Cr: 0.750 0.917 0.408
N: 0.750 0.406 0.133
Ce: 0.250 0.634 0.177
Pr: 0.750 0.839 0.828
N: 0.250 0.844 0.481
N: 0.250 0.594 0.867
Pr: 0.250 0.161 0.172
N: 0.750 0.156 0.519
N: 0.750 0.879 0.158

Record 2
Compound: CePu2CrN4
Source: Alexandria
Functional: GGA-PBE
Structure: optimized geometry

Properties
As for the total energy: -10.786 eV per atom. As for the mass density: 11.027 g/cm³.

a b c (Å): 3.349 5.986 11.519
angles (deg): 90.00 90.00 106.25
Site moments in Bohr magnetons follow the coordinates.
Sites, in units of the cell vectors:
Cr: 0.156 0.312 0.250  -1.15
N: 0.443 0.886 0.750  -0.01
N: 0.732 0.464 0.625  -0.11
Cr: 0.844 0.688 0.750  -1.15
Pu: 0.368 0.735 0.950  4.39
Pu: 0.368 0.735 0.550  4.39
N: 0.557 0.114 0.250  -0.01
N: 0.000 0.000 0.500  -0.22
Pu: 0.632 0.265 0.050  4.39
Ce: 0.895 0.790 0.250  0.06
N: 0.732 0.464 0.875  -0.11
Pu: 0.632 0.265 0.450  4.39
Ce: 0.105 0.210 0.750  0.06
N: 0.268 0.536 0.375  -0.11
N: 0.000 0.000 0.000  -0.22
N: 0.268 0.536 0.125  -0.11

Record 3
Compound: CePuCrN4
Source: Alexandria
Functional: GGA-PBE
Structure: optimized geometry

Properties
As for the total energy: -10.043 eV per atom. As for the mass density: 9.673 g/cm³.

a b c (Å): 5.270 5.225 6.678
angles (deg): 90.00 113.24 90.00
Site moments in Bohr magnetons follow the coordinates.
Sites, in units of the cell vectors:
N: 0.500 0.500 0.500  -0.08
N: 0.000 0.000 0.500  -0.08
Pu: 0.394 0.250 0.789  4.38
N: 0.569 0.250 0.138  -0.21
Cr: 0.761 0.250 0.523  0.24
N: 0.921 0.250 0.842  -0.08
N: 0.079 0.750 0.158  -0.08
N: 0.000 0.500 0.500  -0.08
Ce: 0.891 0.750 0.783  0.27
Cr: 0.239 0.750 0.477  0.24
N: 0.500 0.000 0.500  -0.08
Pu: 0.606 0.750 0.211  4.38
Ce: 0.109 0.250 0.217  0.27
N: 0.431 0.750 0.862  -0.21

Record 4
Compound: Ce2PuCrN4
Source: Alexandria
Functional: GGA-PBE
Structure: optimized geometry

Properties
As for the total energy: -9.705 eV per atom. As for the mass density: 9.056 g/cm³.

a b c (Å): 3.377 6.005 11.915
angles (deg): 90.00 90.00 106.33
Site moments in Bohr magnetons follow the coordinates.
Sites, in units of the cell vectors:
N: 0.564 0.128 0.250  -0.02
N: 0.436 0.872 0.750  -0.02
Ce: 0.367 0.733 0.549  -0.26
Cr: 0.162 0.324 0.250  -1.19
N: 0.272 0.544 0.367  -0.04
Cr: 0.838 0.676 0.750  -1.19
N: 0.272 0.544 0.133  -0.04
Ce: 0.633 0.267 0.451  -0.26
Ce: 0.367 0.733 0.951  -0.26
Ce: 0.633 0.267 0.049  -0.26
N: 0.728 0.456 0.867  -0.04
N: 0.000 0.000 0.500  -0.03
N: 0.728 0.456 0.633  -0.04
N: 0.000 0.000 0.000  -0.03
Pu: 0.101 0.202 0.750  4.91
Pu: 0.899 0.798 0.250  4.91

Record 5
Compound: CeScCrN3
Source: Alexandria
Functional: GGA-PBE
Structure: optimized geometry

Properties
As for the total energy: -8.996 eV per atom. As for the mass density: 5.703 g/cm³.

a b c (Å): 3.231 7.233 7.111
angles (deg): 102.02 90.00 90.00
Sites, in units of the cell vectors:
N: 0.250 0.574 0.846
Ce: 0.750 0.802 0.794
Ce: 0.250 0.198 0.206
N: 0.250 0.818 0.513
Cr: 0.750 0.913 0.402
N: 0.750 0.866 0.142
Sc: 0.250 0.641 0.154
Cr: 0.250 0.087 0.598
Sc: 0.750 0.359 0.846
N: 0.750 0.426 0.154
N: 0.750 0.182 0.487
N: 0.250 0.134 0.858

Record 6
Compound: CeCr2SiN
Source: Alexandria
Functional: GGA-PBE
Structure: optimized geometry

Properties
As for the total energy: -8.536 eV per atom. As for the mass density: 6.760 g/cm³.

a b c (Å): 3.528 5.674 7.392
angles (deg): 90.00 90.00 108.11
Sites, in units of the cell vectors:
Cr: 0.172 0.343 0.553
Cr: 0.172 0.343 0.947
Cr: 0.828 0.657 0.053
Si: 0.740 0.479 0.750
Cr: 0.828 0.657 0.447
N: 0.000 0.000 0.000
Ce: 0.463 0.926 0.750
N: 0.000 0.000 0.500
Si: 0.260 0.521 0.250
Ce: 0.537 0.074 0.250

Record 7
Compound: Ce2SmCrN4
Source: Alexandria
Functional: GGA-PBE
Structure: optimized geometry

Properties
As for the total energy: -8.582 eV per atom. As for the mass density: 7.523 g/cm³.

a b c (Å): 3.423 6.067 11.935
angles (deg): 90.00 90.00 106.39
Site moments in Bohr magnetons follow the coordinates.
Sites, in units of the cell vectors:
N: 0.730 0.460 0.632  -0.02
N: 0.000 0.000 0.500  -0.01
Cr: 0.837 0.673 0.750  1.74
N: 0.000 0.000 0.000  -0.01
Ce: 0.367 0.734 0.952  0.37
N: 0.270 0.540 0.132  -0.02
Ce: 0.367 0.734 0.548  0.37
Sm: 0.103 0.206 0.750  0.04
N: 0.568 0.137 0.250  -0.06
N: 0.730 0.460 0.868  -0.02
N: 0.432 0.863 0.750  -0.06
Cr: 0.163 0.327 0.250  1.74
Sm: 0.897 0.794 0.250  0.04
Ce: 0.633 0.266 0.048  0.37
Ce: 0.633 0.266 0.452  0.37
N: 0.270 0.540 0.368  -0.02

Record 8
Compound: CeSmCrN4
Source: Alexandria
Functional: GGA-PBE
Structure: optimized geometry

Properties
As for the total energy: -8.714 eV per atom. As for the mass density: 6.597 g/cm³.

a b c (Å): 5.664 5.451 6.876
angles (deg): 90.00 109.08 90.00
Site moments in Bohr magnetons follow the coordinates.
Sites, in units of the cell vectors:
N: 0.596 0.250 0.442  -0.02
N: 0.404 0.750 0.558  -0.02
Ce: 0.210 0.250 0.537  0.61
N: 0.442 0.750 0.149  -0.01
N: 0.558 0.250 0.851  -0.01
Sm: 0.714 0.750 0.933  0.03
Cr: 0.764 0.250 0.705  0.24
Cr: 0.236 0.750 0.295  0.24
Ce: 0.790 0.750 0.463  0.61
Sm: 0.286 0.250 0.067  0.03
N: 0.032 0.998 0.240  -0.01
N: 0.968 0.498 0.760  -0.01
N: 0.032 0.502 0.240  -0.01
N: 0.968 0.002 0.760  -0.01